Entry 1:
NbTeN | the Alexandria database | PBEsol | optimized geometry; symmetry = No. 129; raw formation energy = -13.90 kcal/mol of atoms
1.0
3.542 0.000 0.000
0.000 3.542 0.000
0.000 0.000 8.816
Nb Te N
2 2 2
Cartesian
0.000 1.771 7.716
1.771 0.000 1.101
1.771 0.000 5.966
0.000 1.771 2.851
1.771 1.771 0.000
0.000 0.000 0.000

=====

Entry 2:
TiNb2N | the Alexandria database | PBEsol | optimized geometry; symmetry = No. 225; raw formation energy = 19.82 kcal/mol of atoms
1.0
-0.938 -1.935 -3.712
-3.547 -2.390 -0.337
-3.302 1.383 -2.365
Nb N Ti
2 1 1
Cartesian
-1.947 -0.735 -1.604
-5.840 -2.206 -4.811
0.000 0.000 0.000
-3.894 -1.471 -3.207

=====

Entry 3:
TiNbN2 | the Alexandria database | PBEsol | optimized geometry; symmetry = No. 166; raw formation energy = -35.13 kcal/mol of atoms
1.0
-1.321 1.737 -2.112
-2.099 -1.186 -1.846
-4.733 1.438 1.961
Ti N Nb
1 2 1
Cartesian
-4.077 0.994 -0.998
-2.102 0.519 -0.441
-6.052 1.469 -1.556
0.000 0.000 0.000

=====

Entry 4:
TiNbN2 | the Alexandria database | PBEsol | optimized geometry; symmetry = No. 141; raw formation energy = -34.84 kcal/mol of atoms
1.0
-1.486 3.916 1.078
-2.603 -0.037 -3.453
-1.063 -3.768 3.549
N Ti Nb
4 2 2
Cartesian
-4.370 -1.825 0.605
-1.515 -0.892 1.151
-1.340 -0.041 -1.697
-3.637 1.002 0.022
0.000 0.000 0.000
-2.855 -0.933 -0.546
-2.296 1.043 1.720
-2.044 1.939 -1.188

=====

Entry 5:
NbTlN2 | the Alexandria database | PBEsol | optimized geometry; symmetry = No. 122; raw formation energy = -8.82 kcal/mol of atoms
1.0
-1.261 2.121 -5.285
-4.502 -1.380 3.739
3.259 4.708 1.112
Tl Nb N
2 2 4
Cartesian
-0.122 3.371 1.382
0.000 0.000 0.000
0.999 3.414 -2.087
-2.382 2.078 -1.816
-0.546 2.501 -1.341
-3.319 1.512 -0.210
-1.935 1.540 2.689
0.792 5.345 -2.006

=====

Entry 6:
UNbN2 | the Alexandria database | PBEsol | optimized geometry; symmetry = No. 62; raw formation energy = -33.44 kcal/mol of atoms
1.0
-1.375 -1.262 -2.606
-2.478 -3.888 3.190
-8.624 6.605 1.352
U N Nb
4 8 4
Cartesian
-9.457 3.061 0.551
-3.601 1.733 0.075
-3.019 -1.606 1.385
-8.875 -0.278 1.861
-1.034 -1.339 0.208
-8.494 2.096 2.481
-5.305 -2.522 1.063
-11.443 2.794 1.728
-6.534 -0.020 2.471
-7.172 3.977 0.873
-3.983 -0.641 -0.545
-5.942 1.474 -0.535
-2.081 -0.583 -1.576
-10.395 2.038 3.512
-5.909 -0.544 0.425
-6.567 1.999 1.511

=====

Entry 7:
NbW3N | the Alexandria database | PBEsol | optimized geometry; symmetry = No. 221; raw formation energy = 83.36 kcal/mol of atoms
1.0
-1.254 4.379 -1.201
-0.686 -1.414 -4.441
-4.489 -1.007 1.014
N W Nb
1 3 1
Cartesian
-3.214 0.979 -2.314
-0.343 -0.707 -2.220
-0.627 2.190 -0.600
-2.244 -0.503 0.507
0.000 0.000 0.000

=====

Entry 8:
YNb3N | the Alexandria database | PBEsol | optimized geometry; symmetry = No. 221; raw formation energy = 72.74 kcal/mol of atoms
1.0
-0.793 2.776 3.826
-4.157 -2.256 0.775
2.249 -3.190 2.781
N Nb Y
1 3 1
Cartesian
-1.351 -1.335 3.691
-2.079 -1.128 0.387
-0.397 1.388 1.913
1.125 -1.595 1.391
0.000 0.000 0.000

=====

Entry 9:
Nd3Se3N | the Alexandria database | PBEsol | optimized geometry; symmetry = No. 62; raw formation energy = -42.30 kcal/mol of atoms
1.0
4.088 0.000 0.000
0.000 12.655 0.000
0.000 0.000 13.288
Se Nd N
12 12 4
Cartesian
1.022 3.427 9.208
1.022 7.460 8.089
3.066 5.195 5.200
1.022 1.132 11.844
3.066 8.031 0.002
3.066 9.228 4.080
1.022 9.754 10.724
3.066 1.704 6.642
3.066 11.522 1.445
1.022 10.951 6.646
3.066 2.900 2.564
1.022 4.623 13.286
1.022 2.716 4.845
1.022 9.043 1.799
3.066 12.180 4.618
3.066 11.697 11.559
3.066 3.612 11.490
3.066 5.370 8.374
1.022 7.285 4.914
1.022 0.475 8.670
1.022 6.802 11.262
1.022 0.958 1.730
3.066 5.852 2.026
3.066 9.939 8.443
1.022 6.903 2.691
3.066 12.079 9.335
3.066 5.752 10.597
1.022 0.575 3.953

=====

Entry 10:
Nd3Si6N11 | the Alexandria database | PBEsol | optimized geometry; symmetry = No. 100; raw formation energy = -33.59 kcal/mol of atoms
1.0
-1.947 -4.273 -1.221
-2.109 -1.804 9.674
-8.973 4.414 -1.134
N Nd Si
22 6 12
Cartesian
-7.766 1.693 3.055
-5.015 -2.107 2.915
-9.222 0.989 7.841
-6.465 -2.132 5.314
-2.548 0.112 0.268
-4.817 -3.626 7.910
-8.585 -0.804 4.047
-4.718 0.623 1.939
-2.353 -2.734 0.864
-1.198 -1.217 4.747
-9.683 0.141 1.545
-4.630 1.891 -0.657
-4.004 -0.592 5.054
-4.788 -1.717 0.241
-9.002 -1.614 6.601
-7.134 -0.779 1.648
-11.246 -0.177 6.098
-2.661 -1.809 7.169
-9.110 2.910 0.940
-7.053 0.478 6.170
-8.783 0.714 -0.948
-4.107 -3.472 5.297
-6.510 2.669 0.984
-4.585 -0.086 7.548
-8.785 2.366 5.667
-2.310 0.217 2.866
-1.920 -4.213 -1.204
-7.461 -2.908 3.066
-9.737 1.415 0.326
-7.729 -0.993 5.549
-2.442 -0.775 5.791
-7.487 0.954 7.783
-4.872 -2.031 4.625
-3.075 -1.494 -0.118
-3.761 1.294 0.654
-3.416 -3.349 6.916
-8.806 3.024 2.646
-10.078 -0.440 7.360
-5.425 -0.941 1.692
-8.282 0.097 2.617

=====

Entry 11:
Nd4Te3N2 | the Alexandria database | PBEsol | optimized geometry; symmetry = No. 62; raw formation energy = -35.75 kcal/mol of atoms
1.0
-4.640 4.813 -2.956
-8.404 -4.383 6.056
2.282 7.464 8.569
Te N Nd
12 8 16
Cartesian
-7.092 5.197 9.121
-3.670 2.697 2.547
0.670 6.614 8.517
-4.384 5.436 5.494
-11.432 1.280 3.151
-5.147 2.595 10.869
-5.615 5.299 0.799
-6.377 2.458 6.175
-0.116 4.045 5.568
-3.599 8.005 8.443
-7.163 -0.111 3.226
-10.646 3.849 6.101
-2.156 4.763 10.193
-8.606 3.131 1.476
-0.843 9.064 6.097
-1.428 7.151 3.901
-9.334 0.743 7.767
-2.741 2.850 7.997
-8.021 5.044 3.672
-9.919 -1.170 5.571
-2.936 2.353 5.777
-6.950 4.882 12.482
-6.758 3.311 2.835
-7.825 5.541 5.892
-1.538 6.856 6.196
-2.902 5.987 2.602
-7.860 1.907 9.067
-5.412 -0.591 5.876
-10.021 5.061 10.019
-3.846 -0.622 2.361
-0.741 2.833 1.649
-9.224 1.038 5.472
-4.004 4.583 8.833
-5.350 8.485 5.793
-6.916 8.516 9.307
-3.812 3.012 -0.813

=====

Entry 12:
Ni3N | the Alexandria database | PBEsol | optimized geometry; symmetry = No. 182; raw formation energy = -1.57 kcal/mol of atoms
1.0
-1.045 2.371 3.342
-4.292 -1.427 -0.329
2.963 -2.294 2.554
Ni N
6 2
Cartesian
-3.406 0.227 1.450
1.469 -0.356 3.387
-0.958 -0.035 2.401
-0.893 -2.501 1.495
0.972 -0.753 0.838
-1.408 -0.468 -0.108
-2.657 0.062 3.139
0.284 -1.412 2.429

=====

Entry 13:
Ni3NO | the Alexandria database | PBEsol | optimized geometry; symmetry = No. 221; raw formation energy = 15.95 kcal/mol of atoms
1.0
-3.001 -0.997 1.844
0.730 -3.515 -0.712
1.965 -0.216 3.081
Ni O N
3 1 1
Cartesian
0.365 -1.758 -0.356
-1.500 -0.499 0.922
0.983 -0.108 1.540
0.000 0.000 0.000
-0.152 -2.364 2.106

=====

Entry 14:
NiPbN2O | the Alexandria database | PBEsol | optimized geometry; symmetry = No. 123; raw formation energy = 14.06 kcal/mol of atoms
1.0
3.704 0.000 0.000
0.000 3.704 0.000
0.000 0.000 4.102
O Pb N Ni
1 1 2 1
Cartesian
0.000 0.000 2.051
1.852 1.852 2.051
1.852 0.000 0.000
0.000 1.852 0.000
0.000 0.000 0.000

=====

Entry 15:
NiS2NO | the Alexandria database | PBEsol | optimized geometry; symmetry = No. 123; raw formation energy = 34.28 kcal/mol of atoms
1.0
3.595 0.000 0.000
0.000 4.063 0.000
0.000 0.000 4.063
O Ni N S
1 1 1 2
Cartesian
0.000 0.000 0.000
1.797 2.032 2.032
1.797 0.000 0.000
0.000 0.000 2.032
0.000 2.032 0.000

=====

Entry 16:
NiSeNO2 | the Alexandria database | PBEsol | optimized geometry; symmetry = No. 123; raw formation energy = 11.93 kcal/mol of atoms
1.0
3.627 0.000 0.000
0.000 3.627 0.000
0.000 0.000 3.760
Ni O Se N
1 2 1 1
Cartesian
0.000 0.000 0.000
0.000 1.813 0.000
1.813 0.000 0.000
1.813 1.813 1.880
0.000 0.000 1.880

=====

Entry 17:
SrNiNO2 | the Alexandria database | PBEsol | optimized geometry; symmetry = No. 123; raw formation energy = 26.43 kcal/mol of atoms
1.0
4.468 0.000 0.000
0.000 4.468 0.000
0.000 0.000 4.705
O Sr N Ni
2 1 1 1
Cartesian
0.000 2.234 0.000
2.234 0.000 0.000
0.000 0.000 0.000
0.000 0.000 2.352
2.234 2.234 2.352

=====

Entry 18:
TiNiNO2 | the Alexandria database | PBEsol | optimized geometry; symmetry = No. 123; raw formation energy = -13.52 kcal/mol of atoms
1.0
-2.608 2.050 -1.768
-1.575 -3.146 -1.324
-2.321 -0.187 3.206
Ni O Ti N
1 2 1 1
Cartesian
-3.252 -0.641 0.057
-0.788 -1.573 -0.662
-1.304 1.025 -0.884
0.000 0.000 0.000
-1.161 -0.094 1.603

=====

Entry 19:
TlNiN2O | the Alexandria database | PBEsol | optimized geometry; symmetry = No. 123; raw formation energy = 48.85 kcal/mol of atoms
1.0
4.225 0.000 0.000
0.000 4.206 0.000
0.000 0.000 4.206
Ni O Tl N
1 1 1 2
Cartesian
2.113 2.103 2.103
2.113 0.000 0.000
0.000 0.000 0.000
0.000 0.000 2.103
0.000 2.103 0.000

=====

Entry 20:
NiWN2O | the Alexandria database | PBEsol | optimized geometry; symmetry = No. 123; raw formation energy = 3.57 kcal/mol of atoms
1.0
3.782 0.000 0.000
0.000 3.931 0.000
0.000 0.000 3.931
Ni N O W
1 2 1 1
Cartesian
1.891 1.966 1.966
0.000 1.966 0.000
0.000 0.000 1.966
1.891 0.000 0.000
0.000 0.000 0.000

=====

Entry 21:
NiOsN2 | the Alexandria database | PBEsol | optimized geometry; symmetry = No. 166; raw formation energy = 9.98 kcal/mol of atoms
1.0
2.768 0.000 0.000
1.384 2.397 0.000
1.384 0.799 6.182
N Ni Os
2 1 1
Cartesian
1.384 0.799 4.396
4.152 2.397 1.786
0.000 0.000 0.000
2.768 1.598 3.091

=====

Entry 22:
NiOsS2N | the Alexandria database | PBEsol | optimized geometry; symmetry = No. 123; raw formation energy = 17.74 kcal/mol of atoms
1.0
3.617 0.000 0.000
0.000 4.695 0.000
0.000 0.000 4.695
Os Ni S N
1 1 2 1
Cartesian
0.000 0.000 0.000
1.809 2.348 2.348
0.000 0.000 2.348
0.000 2.348 0.000
1.809 0.000 0.000

=====

Entry 23:
NiOsSN2 | the Alexandria database | PBEsol | optimized geometry; symmetry = No. 123; raw formation energy = 18.59 kcal/mol of atoms
1.0
-3.492 -1.172 0.192
1.155 -3.213 1.394
-0.383 1.915 4.731
Os N Ni S
1 2 1 1
Cartesian
0.000 0.000 0.000
0.578 -1.607 0.697
-1.746 -0.586 0.096
-1.360 -1.235 3.159
-0.192 0.958 2.366